Entry 1:
La2TbHo4Sc PBE-GGA optimized geometry; VASP energy = -71.7 eV/cell; SG = Imma, No. 74; formation energy from the elements = 3.264 eV/f.u.; total magnetization = 1.17 Bohr magnetons per cell
1.0
-3.376 5.897 6.550
3.376 -5.897 6.550
3.376 5.897 -6.550
La Tb Ho Sc
4 2 8 2
Cartesian
0.000 0.000 0.000
-1.688 2.948 3.275
0.000 5.897 0.000
1.688 2.948 3.275
3.376 0.000 0.000
0.000 0.000 6.550
3.376 -0.217 3.262
3.376 5.680 -3.262
1.700 2.948 -0.195
5.052 2.948 -0.195
-1.676 2.948 6.745
1.676 2.948 6.745
0.000 0.217 9.812
0.000 6.114 3.288
1.688 2.948 -3.275
1.688 -2.948 3.275

=====

Entry 2:
CeHo2SiN4 PBE-GGA optimized geometry; VASP energy = -129.4 eV/cell; SG = Cmcm, No. 63; ΔE_f (raw) = -1049 kJ/mol of formula units; total magnetization = 2.04 Bohr magnetons per cell
1.0
1.688 -5.735 0.000
1.688 5.735 0.000
0.000 0.000 11.503
Ce Ho Si N
2 4 2 8
Cartesian
1.688 4.722 8.628
1.688 -4.722 2.876
1.688 1.507 6.239
1.688 1.507 11.016
1.688 -1.507 0.487
1.688 -1.507 5.265
1.688 3.715 2.876
1.688 -3.715 8.628
0.000 0.000 0.000
0.000 0.000 5.752
1.688 2.675 1.490
1.688 2.675 4.262
1.688 1.082 8.628
1.688 -1.082 2.876
1.688 -2.675 7.241
1.688 -2.675 10.014

=====

Entry 3:
ReBi2Ir PBE-GGA optimized geometry; VASP energy = -95.9 eV/cell; SG = I-42d, No. 122; energy above the lowest structure with this stoichiometry = 380.6 meV/atom; formation energy from the elements = 5.104 eV/f.u.; total magnetization = 0.00 Bohr magnetons per cell
1.0
6.162 0.000 0.000
0.000 6.162 0.000
0.000 0.000 12.307
Re Bi Ir
4 8 4
Cartesian
0.000 0.000 0.000
0.000 3.081 3.077
3.081 0.000 9.230
3.081 3.081 6.154
1.531 1.541 7.692
1.541 4.613 10.769
1.541 4.631 4.615
1.550 1.541 1.538
4.613 4.622 1.538
4.622 1.531 4.615
4.622 1.550 10.769
4.631 4.622 7.692
0.000 0.000 6.154
0.000 3.081 9.230
3.081 0.000 3.077
3.081 3.081 0.000

=====

Entry 4:
FeAgIr PBE-GGA optimized geometry; VASP energy = -73.3 eV/cell; SG = F-43m, No. 216; energy above the lowest structure with this stoichiometry = 415.7 meV/atom; formation energy from the elements = 1.841 eV/f.u.; total magnetization = 15.98 Bohr magnetons per cell
1.0
5.891 0.000 0.000
0.000 5.891 0.000
0.000 0.000 5.891
Fe Ag Ir
4 4 4
Cartesian
0.000 0.000 0.000
0.000 2.945 2.945
2.945 0.000 2.945
2.945 2.945 0.000
1.473 1.473 1.473
1.473 4.418 4.418
4.418 1.473 4.418
4.418 4.418 1.473
1.473 1.473 4.418
1.473 4.418 1.473
4.418 1.473 1.473
4.418 4.418 4.418

=====

Entry 5:
Li4SiAg PBE-GGA optimized geometry; VASP energy = -34.5 eV/cell; SG = C2/c, No. 15; energy above the lowest structure with this stoichiometry = 11.7 meV/atom; ΔE_f (raw) = -126 kJ/mol of formula units; total magnetization = 0.00 Bohr magnetons per cell
1.0
4.572 -2.232 0.000
4.572 2.232 0.000
-3.188 0.000 8.604
Li Si Ag
8 2 2
Cartesian
0.431 1.120 6.114
2.469 1.116 4.676
1.894 1.116 8.229
3.932 1.120 6.791
2.025 -1.120 1.813
4.063 -1.116 0.374
3.488 -1.116 3.927
5.526 -1.120 2.489
3.775 1.114 2.151
2.182 -1.114 6.453
2.286 1.116 0.000
0.692 -1.116 4.302

=====

Entry 6:
Ba2CdRh2 PBE-GGA optimized geometry; VASP energy = -41.2 eV/cell; SG = C2/c, No. 15; formation energy from the elements = -1.160 eV/f.u.; total magnetization = 0.00 Bohr magnetons per cell
1.0
5.325 -3.095 0.000
5.325 3.095 0.000
-2.015 0.000 8.298
Ba Cd Rh
4 2 4
Cartesian
1.274 0.879 1.206
0.266 -0.879 5.355
8.368 0.879 2.943
7.361 -0.879 7.092
4.821 0.662 2.075
3.814 -0.662 6.224
2.829 0.928 4.056
6.812 0.928 0.093
1.822 -0.928 8.205
5.805 -0.928 4.242

=====

Entry 7:
Hg3H12Pd5 PBE-GGA optimized geometry; VASP energy = -251.4 eV/cell; SG = Ia-3d, No. 230; total magnetization = 0.00 Bohr magnetons per cell
1.0
-5.902 5.902 5.902
5.902 -5.902 5.902
5.902 5.902 -5.902
Hg H Pd
12 48 20
Cartesian
2.951 1.475 0.000
5.902 2.951 -1.475
1.475 0.000 2.951
7.377 0.000 2.951
0.000 2.951 1.475
2.951 -1.475 5.902
2.951 7.377 0.000
5.902 2.951 4.426
-1.475 5.902 2.951
4.426 5.902 2.951
0.000 2.951 7.377
2.951 4.426 5.902
1.620 -0.458 0.502
7.232 3.453 -3.409
7.522 0.458 0.502
7.232 -2.449 3.409
5.443 -0.502 1.620
9.311 -1.331 2.449
0.502 1.620 -0.458
8.351 2.492 -1.331
3.453 3.409 -1.331
5.400 1.620 0.458
-0.458 0.502 1.620
3.409 -1.331 3.453
5.443 5.400 -1.620
3.409 1.331 2.449
3.453 -3.409 7.232
5.400 -1.620 5.443
2.449 3.409 1.331
6.404 4.282 0.458
3.409 7.232 -2.449
5.443 0.502 4.282
1.620 5.443 -0.502
7.232 2.449 2.492
1.331 2.449 3.409
1.620 0.458 5.400
4.282 5.443 0.502
4.571 3.453 2.492
-1.331 3.453 3.409
4.282 0.458 6.404
0.458 5.400 1.620
2.492 -1.331 8.351
-0.502 1.620 5.443
3.453 2.492 4.571
0.502 7.522 0.458
2.449 9.311 -1.331
2.492 4.571 3.453
0.458 0.502 7.522
2.492 7.232 2.449
6.360 5.400 4.282
0.502 4.282 5.443
2.449 2.492 7.232
-2.449 3.409 7.232
5.400 4.282 6.360
-3.409 7.232 3.453
0.458 6.404 4.282
-1.331 8.351 2.492
-1.620 5.443 5.400
-1.331 2.449 9.311
4.282 6.360 5.400
0.000 0.000 0.000
2.951 2.951 -2.951
2.951 -2.951 2.951
5.902 0.000 0.000
8.853 1.475 0.000
5.902 -2.951 4.426
4.426 5.902 -2.951
4.426 0.000 2.951
2.951 4.426 0.000
5.902 2.951 1.475
-2.951 2.951 2.951
0.000 5.902 0.000
0.000 0.000 5.902
2.951 2.951 2.951
0.000 2.951 4.426
2.951 1.475 5.902
1.475 5.902 2.951
1.475 0.000 8.853
0.000 8.853 1.475
-2.951 4.426 5.902

=====

Entry 8:
Ca2NdLu PBE-GGA optimized geometry; VASP energy = -50.5 eV/cell; SG = Fm-3m, No. 225; energy above the lowest structure with this stoichiometry = 0.0 meV/atom; formation energy from the elements = 0.670 eV/f.u.; total magnetization = 0.00 Bohr magnetons per cell
1.0
8.291 0.000 0.000
0.000 8.291 0.000
0.000 0.000 8.291
Ca Nd Lu
8 4 4
Cartesian
2.073 2.073 2.073
2.073 2.073 6.218
2.073 6.218 2.073
2.073 6.218 6.218
6.218 2.073 2.073
6.218 2.073 6.218
6.218 6.218 2.073
6.218 6.218 6.218
0.000 0.000 0.000
0.000 4.145 4.145
4.145 0.000 4.145
4.145 4.145 0.000
0.000 0.000 4.145
0.000 4.145 0.000
4.145 0.000 0.000
4.145 4.145 4.145

=====

Entry 9:
Pr2Al3Cu5 PBE-GGA optimized geometry; VASP energy = -43.7 eV/cell; SG = P-4m2, No. 115; formation energy from the elements = -2.434 eV/f.u.; total magnetization = 0.00 Bohr magnetons per cell
1.0
4.249 0.000 0.000
0.000 4.249 0.000
0.000 0.000 10.183
Pr Al Cu
2 3 5
Cartesian
0.000 2.125 2.391
2.125 0.000 7.792
0.000 2.125 6.559
2.125 0.000 3.624
2.125 2.125 5.091
0.000 0.000 0.000
0.000 0.000 5.091
0.000 2.125 8.977
2.125 0.000 1.205
2.125 2.125 0.000

=====

Entry 10:
Na2RhPbF8 PBE-GGA optimized geometry; VASP energy = -54.6 eV/cell; SG = P2/m, No. 10; ΔE_f (raw) = -2498 kJ/mol of formula units; total magnetization = 0.81 Bohr magnetons per cell
1.0
4.784 0.000 0.000
0.000 7.226 0.000
-0.106 0.000 5.412
Na Rh Pb F
2 1 1 8
Cartesian
0.000 1.738 0.000
0.000 5.488 0.000
2.339 0.000 2.706
2.339 3.613 2.706
0.670 3.613 1.141
0.991 0.000 1.281
1.447 1.460 3.690
1.447 5.766 3.690
3.232 1.460 1.722
3.232 5.766 1.722
3.687 0.000 4.131
4.009 3.613 4.271

=====

Entry 11:
W2Se PBE-GGA optimized geometry; VASP energy = -103.4 eV/cell; SG = Pa-3, No. 205; energy above the lowest structure with this stoichiometry = 1124.2 meV/atom; ΔE_f (raw) = 342 kJ/mol of formula units; total magnetization = 0.00 Bohr magnetons per cell
1.0
6.000 0.000 0.000
0.000 6.000 0.000
0.000 0.000 6.000
W Se
8 4
Cartesian
0.729 0.729 0.729
0.729 2.271 3.729
2.271 3.729 0.729
2.271 5.271 3.729
3.729 0.729 2.271
3.729 2.271 5.271
5.271 3.729 2.271
5.271 5.271 5.271
0.000 0.000 3.000
0.000 3.000 0.000
3.000 0.000 0.000
3.000 3.000 3.000

=====

Entry 12:
NaB2Pb3O6 PBE-GGA optimized geometry; VASP energy = -75.1 eV/cell; SG = P-3m1, No. 164; ΔE_f (raw) = -1889 kJ/mol of formula units; total magnetization = 0.00 Bohr magnetons per cell
1.0
5.467 0.000 0.000
-2.733 4.734 0.000
0.000 0.000 6.983
Na B Pb O
1 2 3 6
Cartesian
0.000 0.000 0.000
0.000 3.156 5.411
2.733 1.578 1.571
0.000 0.000 3.491
0.000 3.156 1.439
2.733 1.578 5.544
0.000 1.765 5.428
-1.204 3.851 5.428
1.529 0.883 1.554
1.204 3.851 5.428
3.938 0.883 1.554
2.733 2.969 1.554

=====

Entry 13:
Pm3B9C2 PBE-GGA optimized geometry; VASP energy = -88.7 eV/cell; SG = Immm, No. 71; formation energy from the elements = 4.106 eV/f.u.; total magnetization = 0.00 Bohr magnetons per cell
1.0
-1.584 4.842 5.499
1.584 -4.842 5.499
1.584 4.842 -5.499
Pm B C
3 9 2
Cartesian
0.000 0.000 0.000
0.000 0.000 3.542
0.000 0.000 7.456
1.584 -2.430 3.154
1.584 2.021 -1.467
1.584 2.021 1.467
0.000 2.413 2.345
0.000 4.842 0.000
1.584 2.430 3.154
0.000 2.821 4.032
0.000 2.821 6.966
0.000 7.272 2.345
1.584 2.109 0.000
0.000 2.734 5.499

=====

Entry 14:
KRbMnBr4 PBE-GGA optimized geometry; VASP energy = -55.0 eV/cell; SG = P2_1/m, No. 11; ΔE_f (raw) = -923 kJ/mol of formula units; total magnetization = 10.00 Bohr magnetons per cell
1.0
7.663 0.000 0.000
0.000 7.686 0.000
-2.951 0.000 9.022
K Rb Mn Br
2 2 2 8
Cartesian
1.533 1.921 0.478
3.179 5.764 8.545
0.378 1.921 5.113
4.334 5.764 3.909
-0.645 5.764 7.284
5.357 1.921 1.738
-2.167 0.005 6.786
-2.167 3.838 6.786
2.956 5.764 0.661
1.329 5.764 5.753
3.383 1.921 3.269
1.756 1.921 8.361
6.879 3.847 2.236
6.879 7.681 2.236

=====

Entry 15:
Li2PtSe PBE-GGA optimized geometry; VASP energy = -31.8 eV/cell; SG = I4/mmm, No. 139; ΔE_f (raw) = -247 kJ/mol of formula units; total magnetization = 0.00 Bohr magnetons per cell
1.0
3.957 0.000 0.000
0.000 3.957 0.000
0.000 0.000 7.591
Li Pt Se
4 2 2
Cartesian
0.000 1.979 1.898
0.000 1.979 5.693
1.979 0.000 1.898
1.979 0.000 5.693
0.000 0.000 0.000
1.979 1.979 3.795
0.000 0.000 3.795
1.979 1.979 0.000

=====

Entry 16:
VRu9W2 PBE-GGA optimized geometry; VASP energy = -119.0 eV/cell; SG = P4/mmm, No. 123; formation energy from the elements = -0.469 eV/f.u.; total magnetization = 0.00 Bohr magnetons per cell
1.0
3.852 0.000 0.000
0.000 3.852 0.000
0.000 0.000 11.516
V Ru W
1 9 2
Cartesian
0.000 0.000 0.000
0.000 1.926 1.881
0.000 1.926 5.758
0.000 1.926 9.635
1.926 0.000 1.881
1.926 0.000 5.758
1.926 0.000 9.635
1.926 1.926 0.000
1.926 1.926 3.823
1.926 1.926 7.693
0.000 0.000 3.808
0.000 0.000 7.708

=====

Entry 17:
SrBe2BiH PBE-GGA optimized geometry; VASP energy = -10.4 eV/cell; SG = P4/mmm, No. 123; total magnetization = 0.00 Bohr magnetons per cell
1.0
5.513 0.000 0.000
0.000 5.513 0.000
0.000 0.000 4.057
Sr Be Bi H
1 2 1 1
Cartesian
0.000 0.000 0.000
0.000 2.757 0.000
2.757 0.000 0.000
2.757 2.757 2.029
0.000 0.000 2.029

=====

Entry 18:
NaZrAl PBE-GGA optimized geometry; VASP energy = -54.7 eV/cell; SG = Amm2, No. 38; energy above the lowest structure with this stoichiometry = 70.6 meV/atom; formation energy from the elements = -0.059 eV/f.u.; total magnetization = 0.00 Bohr magnetons per cell
1.0
3.038 0.000 0.000
0.000 16.779 0.000
0.000 0.000 5.122
Na Zr Al
4 4 4
Cartesian
0.000 0.000 0.000
0.000 8.389 2.561
1.519 0.000 2.538
1.519 8.389 5.099
0.000 3.157 1.902
0.000 5.233 4.463
0.000 11.546 4.463
0.000 13.622 1.902
1.519 2.665 4.459
1.519 5.724 1.898
1.519 11.055 1.898
1.519 14.113 4.459

=====

Entry 19:
PHBrCl2 PBE-GGA optimized geometry; VASP energy = -10.9 eV/cell; SG = P4/mmm, No. 123; energy above the lowest structure with this stoichiometry = 0.0 meV/atom; total magnetization = 1.18 Bohr magnetons per cell
1.0
3.926 0.000 0.000
0.000 3.926 0.000
0.000 0.000 7.477
P H Br Cl
1 1 1 2
Cartesian
0.000 0.000 0.000
0.000 0.000 3.739
1.963 1.963 0.000
0.000 1.963 3.739
1.963 0.000 3.739

=====

Entry 20:
InAgCl2 PBE-GGA optimized geometry; VASP energy = -22.7 eV/cell; SG = Imm2, No. 44; ΔE_f (raw) = -200 kJ/mol of formula units; total magnetization = 0.00 Bohr magnetons per cell
1.0
3.475 0.000 0.000
0.000 5.993 0.000
0.000 0.000 9.547
In Ag Cl
2 2 4
Cartesian
0.000 0.000 0.000
1.737 2.996 4.773
0.000 2.996 7.081
1.737 0.000 2.308
0.000 0.000 4.359
0.000 2.996 2.753
1.737 0.000 7.526
1.737 2.996 9.132